# 1
Material: TbCu2Pd8
Method: DFT, GGA-PBE
State: optimized geometry

Calculated values
**ΔE_f**: -0.333 eV/atom
**E_tot**: -5.2754 eV per atom
**Calculated density**: 10.893 g/cm3
**Total magnetization**: 0.00 μB/atom

abc: 14.1118 4.0480 6.3506
angles: 90.00 107.08 90.00
With the nearest neighbours (Å) after each atom.
Space group C2/m (No. 12)
Asymmetric unit:
Tb (0.0000, 0.0000, 0.0000)  12 Pd 2.81-2.91
Cu (0.2282, 0.5000, 0.6420)  10 Pd 2.66-2.86, 2 Cu 2.90
Pd (0.0496, 0.5000, 0.7241)  1 Cu 2.72, 9 Pd 2.78-2.97, 2 Tb 2.89
Pd (0.0989, 0.0000, 0.4703)  3 Cu 2.73-2.74, 8 Pd 2.75-2.93, 1 Tb 2.90
Pd (0.1453, 0.5000, 0.2084)  3 Cu 2.66-2.68, 7 Pd 2.74-2.97, 2 Tb 2.91
Pd (0.1853, 0.0000, 0.9188)  3 Cu 2.70-2.86, 8 Pd 2.72-2.90, 1 Tb 2.81


# 2
Material: SrDyPb2
Method: DFT, GGA-PBE
State: optimized geometry

Calculated values
**ΔE_f**: -0.404 eV/atom
**E_tot**: -3.8288 eV per atom
**Calculated density**: 8.828 g/cm3
**Total magnetization**: 0.00 μB/atom

abc: 5.2911 5.2911 4.4648
angles: 90.00 90.00 90.00
With the nearest neighbours (Å) after each atom.
Space group P4/mmm (No. 123)
Asymmetric unit:
Sr (0.0000, 0.0000, 0.0000)  8 Pb 3.46, 4 Dy 3.74
Dy (0.5000, 0.5000, 0.0000)  8 Pb 3.46, 4 Sr 3.74
Pb (0.0000, 0.5000, 0.5000)  4 Dy 3.46, 4 Sr 3.46, 4 Pb 3.74


# 3
Material: KGaSn
Method: DFT, GGA-PBE
State: optimized geometry

Calculated values
**ΔE_f**: -0.125 eV/atom
**E_tot**: -2.8340 eV per atom
**Calculated density**: 4.488 g/cm3
**Total magnetization**: 0.00 μB/atom

abc: 4.9658 4.9658 7.8840
angles: 90.00 90.00 120.00
With the nearest neighbours (Å) after each atom.
Space group P6_3mc (No. 186)
Asymmetric unit:
K (0.0000, 0.0000, 0.0000)  3 Ga 3.22, 3 Sn 3.32
Ga (0.3333, 0.6667, 0.3136)  4 Sn 2.98-3.14, 3 K 3.22
Sn (0.3333, 0.6667, 0.7114)  4 Ga 2.98-3.14, 3 K 3.32